{"formula": "Ta2Zn", "functional": "PBE-GGA", "state": "relaxed", "n_ef_per_ev_cell": 4.11, "sg": "P6/mmm, No. 191", "magnetic_moment_mub_per_cell": 0.00, "delta_e_f_mev_per_atom": 332, "lattice_angstrom": [[4.679, 0.000, 0.000], [-2.340, 4.052, 0.000], [0.000, 0.000, 2.781]], "species": ["Ta", "Ta", "Zn"], "fractional_positions": [[0.333, 0.667, 0.000], [0.667, 0.333, 0.000], [0.000, 0.000, 0.500]]}


{"formula": "Ta3Zn", "functional": "PBE-GGA", "state": "relaxed", "n_ef_per_ev_cell": 12.06, "sg": "Cmcm, No. 63", "magnetic_moment_mub_per_cell": 0.00, "delta_e_f_mev_per_atom": 28, "lattice_angstrom": [[6.192, 0.000, 0.000], [0.000, 9.495, 0.000], [0.000, 0.000, 4.695]], "species": ["Ta", "Ta", "Ta", "Ta", "Ta", "Ta", "Ta", "Ta", "Ta", "Ta", "Ta", "Ta", "Zn", "Zn", "Zn", "Zn"], "fractional_positions": [[0.000, 0.134, 0.250], [0.000, 0.866, 0.750], [0.237, 0.395, 0.250], [0.237, 0.605, 0.750], [0.263, 0.105, 0.750], [0.263, 0.895, 0.250], [0.500, 0.366, 0.750], [0.500, 0.634, 0.250], [0.737, 0.105, 0.750], [0.737, 0.895, 0.250], [0.763, 0.395, 0.250], [0.763, 0.605, 0.750], [0.000, 0.341, 0.750], [0.000, 0.659, 0.250], [0.500, 0.159, 0.250], [0.500, 0.841, 0.750]]}


{"formula": "TaZn", "functional": "PBE-GGA", "state": "relaxed", "n_ef_per_ev_cell": 6.82, "sg": "I4_1/amd, No. 141", "magnetic_moment_mub_per_cell": 0.00, "delta_e_f_mev_per_atom": 109, "lattice_angstrom": [[3.871, 0.000, 0.000], [0.000, 3.871, 0.000], [0.000, 0.000, 8.767]], "species": ["Ta", "Ta", "Ta", "Ta", "Zn", "Zn", "Zn", "Zn"], "fractional_positions": [[0.000, 0.250, 0.375], [0.000, 0.750, 0.625], [0.500, 0.250, 0.125], [0.500, 0.750, 0.875], [0.000, 0.250, 0.875], [0.000, 0.750, 0.125], [0.500, 0.250, 0.625], [0.500, 0.750, 0.375]]}


{"formula": "TaZn", "functional": "PBE-GGA", "state": "relaxed", "n_ef_per_ev_cell": 4.31, "sg": "P-3m1, No. 164", "magnetic_moment_mub_per_cell": 0.00, "delta_e_f_mev_per_atom": 118, "lattice_angstrom": [[2.896, 0.000, 0.000], [-1.448, 2.508, 0.000], [0.000, 0.000, 9.359]], "species": ["Ta", "Ta", "Zn", "Zn"], "fractional_positions": [[0.333, 0.667, 0.364], [0.667, 0.333, 0.636], [0.333, 0.667, 0.886], [0.667, 0.333, 0.114]]}


{"formula": "TaZn3", "functional": "PBE-GGA", "state": "relaxed", "n_ef_per_ev_cell": 1.38, "sg": "Pm-3m, No. 221", "magnetic_moment_mub_per_cell": 0.00, "delta_e_f_mev_per_atom": -51, "lattice_angstrom": [[3.930, 0.000, 0.000], [0.000, 3.930, 0.000], [0.000, 0.000, 3.930]], "species": ["Ta", "Zn", "Zn", "Zn"], "fractional_positions": [[0.000, 0.000, 0.000], [0.000, 0.500, 0.500], [0.500, 0.000, 0.500], [0.500, 0.500, 0.000]]}


{"formula": "TaZn4", "functional": "PBE-GGA", "state": "relaxed", "n_ef_per_ev_cell": 3.17, "sg": "I4/mmm, No. 139", "magnetic_moment_mub_per_cell": 0.00, "delta_e_f_mev_per_atom": 214, "lattice_angstrom": [[3.764, 0.000, 0.000], [0.000, 3.764, 0.000], [0.000, 0.000, 10.846]], "species": ["Ta", "Ta", "Zn", "Zn", "Zn", "Zn", "Zn", "Zn", "Zn", "Zn"], "fractional_positions": [[0.000, 0.000, 0.000], [0.500, 0.500, 0.500], [0.000, 0.000, 0.396], [0.000, 0.000, 0.604], [0.000, 0.500, 0.250], [0.000, 0.500, 0.750], [0.500, 0.000, 0.250], [0.500, 0.000, 0.750], [0.500, 0.500, 0.104], [0.500, 0.500, 0.896]]}


{"formula": "Ta2Zn", "functional": "PBE-GGA", "state": "relaxed", "n_ef_per_ev_cell": 6.58, "sg": "Immm, No. 71", "magnetic_moment_mub_per_cell": 0.00, "delta_e_f_mev_per_atom": 334, "lattice_angstrom": [[2.651, 0.000, 0.000], [0.000, 4.912, 0.000], [0.000, 0.000, 8.202]], "species": ["Ta", "Ta", "Ta", "Ta", "Zn", "Zn"], "fractional_positions": [[0.000, 0.000, 0.179], [0.000, 0.000, 0.821], [0.500, 0.500, 0.321], [0.500, 0.500, 0.679], [0.000, 0.500, 0.000], [0.500, 0.000, 0.500]]}


{"formula": "Ta5Zn", "functional": "PBE-GGA", "state": "relaxed", "n_ef_per_ev_cell": 13.35, "sg": "Cm, No. 8", "magnetic_moment_mub_per_cell": 0.00, "delta_e_f_mev_per_atom": 180, "lattice_angstrom": [[11.031, 0.000, 0.000], [0.000, 2.764, 0.000], [-1.656, 0.000, 7.071]], "species": ["Ta", "Ta", "Ta", "Ta", "Ta", "Ta", "Ta", "Ta", "Ta", "Ta", "Zn", "Zn"], "fractional_positions": [[0.000, 0.000, 0.000], [0.068, 0.000, 0.632], [0.169, 0.500, 0.330], [0.240, 0.500, 0.982], [0.330, 0.000, 0.659], [0.500, 0.500, 0.000], [0.568, 0.500, 0.632], [0.669, 0.000, 0.330], [0.740, 0.000, 0.982], [0.830, 0.500, 0.659], [0.403, 0.000, 0.299], [0.903, 0.500, 0.299]]}